(1)
{
  "formula": "BaCo2Ru",
  "functional": "SCAN",
  "state": "PBEsol geometry",
  "lattice": [[-2.559, -1.957, -2.260], [3.114, -1.406, -2.308], [-0.441, -3.724, 3.722]],
  "species": ["Ba", "Co", "Ru", "Co"],
  "frac_coords": [[0.500, 0.277, 0.769], [0.500, 0.775, 0.277], [0.000, 0.490, 0.319], [0.000, 0.958, 0.136]],
  "relative_energy_ev_per_atom": 0.000,
  "vol_a3_per_cell": 83.68,
  "ef_mev_per_atom": 653,
  "e_tot_ry_per_atom": -1.955
}

=====

(2)
{
  "formula": "BaCo2Ru",
  "functional": "SCAN",
  "state": "PBEsol geometry",
  "lattice": [[-1.328, 0.637, -2.691], [3.768, -2.736, -2.508], [-3.755, -2.762, 2.948]],
  "species": ["Co", "Ba", "Ru", "Co"],
  "frac_coords": [[0.703, 0.703, 0.405], [0.500, 0.000, 0.000], [0.000, 0.500, 0.000], [0.297, 0.297, 0.595]],
  "relative_energy_ev_per_atom": 0.319,
  "vol_a3_per_cell": 74.49,
  "ef_mev_per_atom": 972,
  "e_tot_ry_per_atom": -1.931
}